## A
DFT (PBE) results for a relaxed structure of AlCuSb2.

a b c (Å): 4.3235 5.1871 7.5970
angles (deg): 90.00 90.00 90.00
With the nearest neighbours (Å) after each atom.
Element x y z (fractional)
Al  0.0000  0.0000  0.0000  8 Sb 2.98-3.31
Al  0.5000  0.5000  0.0000  8 Sb 2.98-3.31
Cu  0.0000  0.0000  0.5000  4 Sb 2.78
Cu  0.5000  0.5000  0.5000  4 Sb 2.78
Sb  0.0000  0.5000  0.2705  2 Cu 2.78, 2 Al 2.98
Sb  0.0000  0.5000  0.7295  2 Cu 2.78, 2 Al 2.98
Sb  0.5000  0.0000  0.2705  2 Cu 2.78, 2 Al 2.98
Sb  0.5000  0.0000  0.7295  2 Cu 2.78, 2 Al 2.98

Values from the calculation:
- M_tot: 0.00 μB/f.u.
- SG: Cmmm, No. 65

=====

## B
DFT (PBE) results for a relaxed structure of AlCuSb2.

a b c (Å): 3.0417 3.8466 7.7220
angles (deg): 90.00 92.96 90.00
With the nearest neighbours (Å) after each atom.
Element x y z (fractional)
Al  0.0000  0.0000  0.0000  4 Sb 2.89, 2 Al 3.04
Cu  0.0000  0.0000  0.5000  4 Sb 2.67
Sb  0.1725  0.5000  0.7327  2 Cu 2.67, 2 Al 2.89
Sb  0.8275  0.5000  0.2673  2 Cu 2.67, 2 Al 2.89

Values from the calculation:
- M_tot: 0.00 μB/f.u.
- SG: P2/m, No. 10

=====

## C
DFT (PBE) results for a relaxed structure of AlCuSb2.

a b c (Å): 3.2604 3.7860 7.5198
angles (deg): 90.00 90.00 90.00
With the nearest neighbours (Å) after each atom.
Element x y z (fractional)
Al  0.0000  0.0000  0.0000  5 Sb 2.71-2.90, 4 Cu 2.81
Cu  0.5000  0.5000  0.1712  5 Sb 2.75-2.88, 4 Al 2.81
Sb  0.0000  0.0000  0.3607  1 Al 2.71, 4 Cu 2.88
Sb  0.5000  0.5000  0.8054  1 Cu 2.75, 4 Al 2.90

Values from the calculation:
- M_tot: 0.00 μB/f.u.
- SG: Pmm2, No. 25

=====

## D
DFT (PBE) results for a relaxed structure of AlCuSb2.

a b c (Å): 6.7980 3.8951 6.9639
angles (deg): 90.00 108.86 90.00
With the nearest neighbours (Å) after each atom.
Element x y z (fractional)
Al  0.0000  0.0000  0.0000  6 Sb 2.88-2.89
Al  0.5000  0.5000  0.0000  6 Sb 2.88-2.89
Cu  0.0000  0.5000  0.5000  6 Sb 2.71-2.72
Cu  0.5000  0.0000  0.5000  6 Sb 2.71-2.72
Sb  0.2428  0.0000  0.7281  3 Cu 2.71-2.72, 3 Al 2.88-2.89
Sb  0.2572  0.5000  0.2719  3 Cu 2.71-2.72, 3 Al 2.88-2.89
Sb  0.7428  0.5000  0.7281  3 Cu 2.71-2.72, 3 Al 2.88-2.89
Sb  0.7572  0.0000  0.2719  3 Cu 2.71-2.72, 3 Al 2.88-2.89

Values from the calculation:
- M_tot: 0.00 μB/f.u.
- SG: C2/m, No. 12

=====

Computed stability ranking, most favorable first: C, D, B, A

=====

## A
DFT (PBE) results for a relaxed structure of AlCuSbTe2.

a b c (Å): 5.3578 5.3578 5.1741
angles (deg): 90.00 90.00 90.00
With the nearest neighbours (Å) after each atom.
Element x y z (fractional)
Al  0.0000  0.0000  0.0000  2 Sb 2.59, 4 Te 2.68
Cu  0.5000  0.5000  0.5000  8 Te 3.72, 4 Sb 3.79
Sb  0.0000  0.0000  0.5000  2 Al 2.59
Te  0.0000  0.5000  0.0000  2 Al 2.68
Te  0.5000  0.0000  0.0000  2 Al 2.68

Values from the calculation:
- M_tot: 0.00 μB/f.u.
- SG: P4/mmm, No. 123

=====

## B
DFT (PBE) results for a relaxed structure of AlCuSbTe2.

a b c (Å): 5.3333 5.3333 4.9166
angles (deg): 90.00 90.00 90.00
With the nearest neighbours (Å) after each atom.
Element x y z (fractional)
Al  0.0000  0.0000  0.0000  8 Te 3.63, 4 Sb 3.77
Cu  0.5000  0.5000  0.5000  2 Sb 2.46, 4 Te 2.67
Sb  0.5000  0.5000  0.0000  2 Cu 2.46
Te  0.0000  0.5000  0.5000  2 Cu 2.67
Te  0.5000  0.0000  0.5000  2 Cu 2.67

Values from the calculation:
- M_tot: 0.00 μB/f.u.
- SG: P4/mmm, No. 123

=====

Computed stability ranking, most favorable first: B, A

=====

## A
DFT (PBE) results for a relaxed structure of Sc4AlCu2.

a b c (Å): 8.5198 8.5198 8.5198
angles (deg): 31.32 31.32 31.32
With the nearest neighbours (Å) after each atom.
Element x y z (fractional)
Sc  0.1202  0.1202  0.1202  3 Al 2.89, 3 Cu 2.93
Sc  0.2922  0.2922  0.2922  4 Cu 2.68-2.74
Sc  0.7078  0.7078  0.7078  4 Cu 2.68-2.74
Sc  0.8798  0.8798  0.8798  3 Al 2.89, 3 Cu 2.93
Al  0.5000  0.5000  0.5000  2 Cu 2.37
Cu  0.4025  0.4025  0.4025  1 Al 2.37
Cu  0.5975  0.5975  0.5975  1 Al 2.37

Values from the calculation:
- M_tot: 0.00 μB/f.u.
- SG: R-3m, No. 166

=====

## B
DFT (PBE) results for a relaxed structure of Sc4AlCu2.

a b c (Å): 7.8478 7.8478 7.8478
angles (deg): 34.22 34.22 34.22
With the nearest neighbours (Å) after each atom.
Element x y z (fractional)
Sc  0.1132  0.1132  0.1132  4 Cu 2.70-2.82, 3 Al 2.92
Sc  0.3685  0.3685  0.3685  4 Cu 2.83-2.95, 1 Al 2.91, 3 Sc 3.09
Sc  0.6315  0.6315  0.6315  4 Cu 2.83-2.95, 1 Al 2.91, 3 Sc 3.09
Sc  0.8868  0.8868  0.8868  4 Cu 2.70-2.82, 3 Al 2.92
Al  0.5000  0.5000  0.5000  8 Sc 2.91-2.92, 6 Cu 3.13
Cu  0.2406  0.2406  0.2406  8 Sc 2.70-2.95
Cu  0.7594  0.7594  0.7594  8 Sc 2.70-2.95

Values from the calculation:
- M_tot: 0.00 μB/f.u.
- SG: R-3m, No. 166

=====

Computed stability ranking, most favorable first: B, A

=====

## A
DFT (PBE) results for a relaxed structure of Sc8AlCu2.

a b c (Å): 8.9881 8.9881 8.1592
angles (deg): 103.12 103.12 21.24
With the nearest neighbours (Å) after each atom.
Element x y z (fractional)
Sc  0.0336  0.0336  0.2274  2 Al 2.94, 7 Sc 3.21-3.29
Sc  0.1318  0.1318  0.6521  2 Al 2.89, 2 Cu 2.98, 3 Sc 3.15-3.17
Sc  0.3085  0.3085  0.6404  2 Cu 2.83, 2 Sc 3.10-3.15
Sc  0.3814  0.3814  0.0242  3 Cu 2.74-2.83
Sc  0.6186  0.6186  0.9758  3 Cu 2.74-2.83
Sc  0.6915  0.6915  0.3596  2 Cu 2.83, 2 Sc 3.10-3.15
Sc  0.8682  0.8682  0.3479  2 Al 2.89, 2 Cu 2.98, 3 Sc 3.15-3.17
Sc  0.9664  0.9664  0.7726  2 Al 2.94, 7 Sc 3.21-3.29
Al  0.5000  0.5000  0.5000  8 Sc 2.89-2.94
Cu  0.2447  0.2447  0.1289  2 Cu 2.72, 7 Sc 2.74-2.98
Cu  0.7553  0.7553  0.8711  2 Cu 2.72, 7 Sc 2.74-2.98

Values from the calculation:
- M_tot: 0.00 μB/f.u.
- SG: C2/m, No. 12

=====

## B
DFT (PBE) results for a relaxed structure of Sc8AlCu2.

a b c (Å): 7.5376 7.5376 4.8152
angles (deg): 98.57 98.57 113.68
With the nearest neighbours (Å) after each atom.
Element x y z (fractional)
Sc  0.0736  0.3183  0.5881  2 Cu 2.77-2.89, 1 Sc 3.09
Sc  0.2398  0.7602  0.0000  2 Cu 2.59
Sc  0.3183  0.0736  0.5881  2 Cu 2.77-2.89, 1 Sc 3.09
Sc  0.3838  0.3838  0.1907  2 Cu 2.79, 2 Sc 2.99-3.07, 1 Al 3.05
Sc  0.6162  0.6162  0.8093  2 Cu 2.79, 2 Sc 2.99-3.07, 1 Al 3.05
Sc  0.6817  0.9264  0.4119  2 Cu 2.77-2.89, 1 Sc 3.09
Sc  0.7602  0.2398  0.0000  2 Cu 2.59
Sc  0.9264  0.6817  0.4119  2 Cu 2.77-2.89, 1 Sc 3.09
Al  0.0000  0.0000  0.0000  12 Sc 3.03-3.27
Cu  0.3152  0.6848  0.5000  8 Sc 2.59-2.89
Cu  0.6848  0.3152  0.5000  8 Sc 2.59-2.89

Values from the calculation:
- M_tot: 3.60 μB/f.u.
- SG: C2/m, No. 12

=====

Computed stability ranking, most favorable first: A, B

=====

## A
DFT (PBE) results for a relaxed structure of TmScAlCu.

a b c (Å): 6.8639 6.8639 6.8639
angles (deg): 90.00 90.00 90.00
With the nearest neighbours (Å) after each atom.
Element x y z (fractional)
Tm  0.0000  0.0000  0.0000  4 Cu 2.97, 4 Al 2.97
Tm  0.0000  0.5000  0.5000  4 Cu 2.97, 4 Al 2.97
Tm  0.5000  0.0000  0.5000  4 Cu 2.97, 4 Al 2.97
Tm  0.5000  0.5000  0.0000  4 Cu 2.97, 4 Al 2.97
Sc  0.0000  0.0000  0.5000  4 Al 2.97, 4 Cu 2.97
Sc  0.0000  0.5000  0.0000  4 Al 2.97, 4 Cu 2.97
Sc  0.5000  0.0000  0.0000  4 Al 2.97, 4 Cu 2.97
Sc  0.5000  0.5000  0.5000  4 Al 2.97, 4 Cu 2.97
Al  0.2500  0.2500  0.2500  4 Tm 2.97, 4 Sc 2.97
Al  0.2500  0.7500  0.7500  4 Tm 2.97, 4 Sc 2.97
Al  0.7500  0.2500  0.7500  4 Tm 2.97, 4 Sc 2.97
Al  0.7500  0.7500  0.2500  4 Tm 2.97, 4 Sc 2.97
Cu  0.2500  0.2500  0.7500  4 Sc 2.97, 4 Tm 2.97
Cu  0.2500  0.7500  0.2500  4 Sc 2.97, 4 Tm 2.97
Cu  0.7500  0.2500  0.2500  4 Sc 2.97, 4 Tm 2.97
Cu  0.7500  0.7500  0.7500  4 Sc 2.97, 4 Tm 2.97

Values from the calculation:
- M_tot: 0.00 μB/f.u.
- SG: F-43m, No. 216

=====

## B
DFT (PBE) results for a relaxed structure of TmScAlCu.

a b c (Å): 3.3536 3.3536 7.0535
angles (deg): 90.00 90.00 90.00
With the nearest neighbours (Å) after each atom.
Element x y z (fractional)
Tm  0.0000  0.0000  0.0000  4 Cu 2.99, 4 Al 3.10, 1 Sc 3.30
Sc  0.0000  0.0000  0.5316  4 Cu 2.79, 4 Al 2.95
Al  0.5000  0.5000  0.2827  4 Sc 2.95, 4 Tm 3.10, 1 Cu 3.23
Cu  0.5000  0.5000  0.7410  4 Sc 2.79, 4 Tm 2.99

Values from the calculation:
- M_tot: 0.00 μB/f.u.
- SG: P4mm, No. 99

=====

Computed stability ranking, most favorable first: B, A

=====

## A
DFT (PBE) results for a relaxed structure of Al3CuSe.

a b c (Å): 4.6164 4.6164 4.6164
angles (deg): 90.00 90.00 90.00
With the nearest neighbours (Å) after each atom.
Element x y z (fractional)
Al  0.0000  0.0000  0.5000  2 Cu 2.31
Al  0.0000  0.5000  0.0000  2 Cu 2.31
Al  0.5000  0.0000  0.0000  2 Cu 2.31
Cu  0.0000  0.0000  0.0000  6 Al 2.31
Se  0.5000  0.5000  0.5000  12 Al 3.26

Values from the calculation:
- M_tot: 0.00 μB/f.u.
- SG: Pm-3m, No. 221

=====

## B
DFT (PBE) results for a relaxed structure of Al3CuSe.

a b c (Å): 4.9335 4.9335 4.9335
angles (deg): 90.00 90.00 90.00
With the nearest neighbours (Å) after each atom.
Element x y z (fractional)
Al  0.0000  0.0000  0.5000  2 Se 2.47
Al  0.0000  0.5000  0.0000  2 Se 2.47
Al  0.5000  0.0000  0.0000  2 Se 2.47
Cu  0.5000  0.5000  0.5000  12 Al 3.49
Se  0.0000  0.0000  0.0000  6 Al 2.47

Values from the calculation:
- M_tot: 0.00 μB/f.u.
- SG: Pm-3m, No. 221

=====

Computed stability ranking, most favorable first: A, B

=====

## A
DFT (PBE) results for a relaxed structure of AlCuSe3.

a b c (Å): 4.8816 4.8816 4.8816
angles (deg): 90.00 90.00 90.00
With the nearest neighbours (Å) after each atom.
Element x y z (fractional)
Al  0.0000  0.0000  0.0000  6 Se 2.44
Cu  0.5000  0.5000  0.5000  12 Se 3.45
Se  0.0000  0.0000  0.5000  2 Al 2.44
Se  0.0000  0.5000  0.0000  2 Al 2.44
Se  0.5000  0.0000  0.0000  2 Al 2.44

Values from the calculation:
- M_tot: 0.00 μB/f.u.
- SG: Pm-3m, No. 221

=====

## B
DFT (PBE) results for a relaxed structure of AlCuSe3.

a b c (Å): 4.8050 4.8050 4.8050
angles (deg): 90.00 90.00 90.00
With the nearest neighbours (Å) after each atom.
Element x y z (fractional)
Al  0.0000  0.0000  0.0000  12 Se 3.40
Cu  0.5000  0.5000  0.5000  6 Se 2.40
Se  0.0000  0.5000  0.5000  2 Cu 2.40
Se  0.5000  0.0000  0.5000  2 Cu 2.40
Se  0.5000  0.5000  0.0000  2 Cu 2.40

Values from the calculation:
- M_tot: 0.00 μB/f.u.
- SG: Pm-3m, No. 221

=====

Computed stability ranking, most favorable first: A, B

=====

## A
DFT (PBE) results for a relaxed structure of AlCu2Se2.

a b c (Å): 4.0467 4.0467 11.3496
angles (deg): 90.00 90.00 90.00
With the nearest neighbours (Å) after each atom.
Element x y z (fractional)
Al  0.0000  0.0000  0.0000  8 Cu 3.10
Al  0.5000  0.5000  0.5000  8 Cu 3.10
Cu  0.0000  0.0000  0.3952  1 Cu 2.38, 4 Se 2.61
Cu  0.0000  0.0000  0.6048  1 Cu 2.38, 4 Se 2.61
Cu  0.5000  0.5000  0.1048  1 Cu 2.38, 4 Se 2.61
Cu  0.5000  0.5000  0.8952  1 Cu 2.38, 4 Se 2.61
Se  0.0000  0.5000  0.2500  4 Cu 2.61, 4 Se 2.86
Se  0.0000  0.5000  0.7500  4 Cu 2.61, 4 Se 2.86
Se  0.5000  0.0000  0.2500  4 Cu 2.61, 4 Se 2.86
Se  0.5000  0.0000  0.7500  4 Cu 2.61, 4 Se 2.86

Values from the calculation:
- M_tot: 0.00 μB/f.u.
- SG: I4/mmm, No. 139

=====

## B
DFT (PBE) results for a relaxed structure of AlCu2Se2.

a b c (Å): 6.9564 6.9564 3.4692
angles (deg): 90.00 90.00 90.00
With the nearest neighbours (Å) after each atom.
Element x y z (fractional)
Al  0.0000  0.0000  0.0000  4 Cu 2.74
Al  0.5000  0.5000  0.0000  4 Cu 2.74
Cu  0.1266  0.3734  0.0000  1 Cu 2.49, 2 Se 2.55, 2 Al 2.74
Cu  0.3734  0.8734  0.0000  1 Cu 2.49, 2 Se 2.55, 2 Al 2.74
Cu  0.6266  0.1266  0.0000  1 Cu 2.49, 2 Se 2.55, 2 Al 2.74
Cu  0.8734  0.6266  0.0000  1 Cu 2.49, 2 Se 2.55, 2 Al 2.74
Se  0.1831  0.6831  0.5000  6 Cu 2.55-2.79
Se  0.3169  0.1831  0.5000  6 Cu 2.55-2.79
Se  0.6831  0.8169  0.5000  6 Cu 2.55-2.79
Se  0.8169  0.3169  0.5000  6 Cu 2.55-2.79

Values from the calculation:
- M_tot: 0.00 μB/f.u.
- SG: P4/mbm, No. 127

=====

Computed stability ranking, most favorable first: B, A